# TlTeBr

A geometry-optimized TlTeBr structure (PBE, Alexandria via LeMat-Bulk).

Computed properties:
DOS at the Fermi energy in states/eV per atom: 0.44
E in eV/f.u.: -7.47
Space-group type: P-6m2 (187)
Raw formation energy in eV per atom: -0.0970

Cell and atoms, written as POSCAR:
```
TlTeBr
1.0
-4.3358 -1.2273 3.0572
2.0448 -3.6983 -3.4342
2.1452 -1.1940 2.5631
Tl Te Br
1 1 1
Direct
0.3333 0.6667 0.5005 Tl
0.6667 0.3333 0.4992 Te
0.0000 0.0000 0.0003 Br
```